Record 1
Crystalline Ca3Cd2 at its relaxed geometry, computed with PBEsol.

Calculated formation energy ... -0.3004 eV per atom
Space-group type ... P4_2/mnm, No. 136
Raw total energy ... -2.0591 eV/atom
Size of the total moment ... 0.000 μB per formula unit
Theoretical density ... 3.87 g cm⁻³

The structure in POSCAR format:
```
Ca3Cd2
1.0
8.704 0.000 0.000
0.000 8.704 0.000
0.000 0.000 7.823
Ca Cd
12 8
Direct
0.000 0.500 0.250
0.000 0.500 0.750
0.145 0.145 0.000
0.200 0.200 0.500
0.300 0.700 0.000
0.355 0.645 0.500
0.500 0.000 0.250
0.500 0.000 0.750
0.645 0.355 0.500
0.700 0.300 0.000
0.800 0.800 0.500
0.855 0.855 0.000
0.123 0.877 0.307
0.123 0.877 0.693
0.377 0.377 0.193
0.377 0.377 0.807
0.623 0.623 0.193
0.623 0.623 0.807
0.877 0.123 0.307
0.877 0.123 0.693
```

Record 2
Crystalline Ca5Cd at its relaxed geometry, computed with PBEsol.

Calculated formation energy ... -0.0640 eV per atom
Space-group type ... Cmmm, No. 65
Raw total energy ... -2.0411 eV/atom
Size of the total moment ... 0.002 μB per formula unit
Theoretical density ... 2.49 g cm⁻³

The structure in POSCAR format:
```
Ca5Cd
1.0
2.597 -7.474 0.000
2.597 7.474 0.000
0.000 0.000 5.377
Ca Cd
5 1
Direct
0.000 0.000 0.000
0.152 0.848 0.500
0.341 0.659 0.000
0.659 0.341 0.000
0.848 0.152 0.500
0.500 0.500 0.500
```

Question: Among the records above, which one has the lowest raw total energy?
Answer: Ca3Cd2